Arrangement i

AlAgTeI2 (PBE, optimized geometry); symmetry = No. 123
1.0
5.727 0.000 0.000
0.000 5.727 0.000
0.000 0.000 5.494
I Te Al Ag
2 1 1 1
direct
0.000 0.500 0.000
0.500 0.000 0.000
0.000 0.000 0.500
0.500 0.500 0.500
0.000 0.000 0.000

Arrangement ii

AlAgTeI2 (PBE, optimized geometry); symmetry = No. 123
1.0
5.578 0.000 0.000
0.000 5.578 0.000
0.000 0.000 5.438
I Te Al Ag
2 1 1 1
direct
0.000 0.500 0.000
0.500 0.000 0.000
0.000 0.000 0.500
0.000 0.000 0.000
0.500 0.500 0.500

The structure with the least stability is arrangement i.

Arrangement i

AlIn2Ag2 (PBE, optimized geometry); symmetry = No. 127
1.0
-6.321 3.044 -0.779
-2.263 -5.625 -3.615
-1.352 -1.854 3.731
Al Ag In
2 4 4
direct
0.000 0.000 0.000
0.500 0.500 0.000
0.355 0.855 0.000
0.855 0.645 0.000
0.645 0.145 0.000
0.145 0.355 0.000
0.164 0.664 0.500
0.664 0.836 0.500
0.836 0.336 0.500
0.336 0.164 0.500

Arrangement ii

AlIn2Ag2 (PBE, optimized geometry); symmetry = No. 127
1.0
-5.816 -5.117 3.079
-0.250 -4.086 -7.262
2.276 -1.968 1.029
Al Ag In
2 4 4
direct
0.000 0.000 0.000
0.500 0.500 0.000
0.122 0.622 0.500
0.622 0.878 0.500
0.878 0.378 0.500
0.378 0.122 0.500
0.324 0.824 0.000
0.824 0.676 0.000
0.676 0.176 0.000
0.176 0.324 0.000

The structure with the least stability is arrangement ii.

Arrangement i

AlInAg6 (PBE, optimized geometry); symmetry = No. 123
1.0
-2.266 -3.415 -0.742
2.026 -2.005 3.037
-5.689 2.580 5.498
Al In Ag
1 1 6
direct
0.000 0.000 0.500
0.000 0.000 0.000
0.500 0.500 0.000
0.500 0.500 0.500
0.500 0.000 0.261
0.500 0.000 0.739
0.000 0.500 0.261
0.000 0.500 0.739

Arrangement ii

AlInAg6 (PBE, optimized geometry); symmetry = No. 2
1.0
7.269 0.282 -0.108
3.866 6.717 -0.017
3.635 2.365 3.111
Al In Ag
1 1 6
direct
0.500 0.500 0.500
0.000 0.000 0.000
0.946 0.463 0.843
0.748 0.937 0.775
0.465 0.253 0.342
0.252 0.063 0.225
0.054 0.537 0.157
0.535 0.747 0.658

The structure with the least stability is arrangement ii.

Arrangement i

Al2InAg2 (PBE, optimized geometry); symmetry = No. 127
1.0
8.293 0.000 0.000
0.000 8.293 0.000
0.000 0.000 2.826
Al Ag In
4 4 2
direct
0.126 0.626 0.500
0.626 0.874 0.500
0.874 0.374 0.500
0.374 0.126 0.500
0.331 0.831 0.000
0.831 0.669 0.000
0.669 0.169 0.000
0.169 0.331 0.000
0.000 0.000 0.000
0.500 0.500 0.000

Arrangement ii

Al2InAg2 (PBE, optimized geometry); symmetry = No. 139
1.0
3.965 0.000 0.000
0.000 3.965 0.000
1.983 1.983 6.421
Al Ag In
2 2 1
direct
0.750 0.250 0.500
0.250 0.750 0.500
0.390 0.390 0.219
0.610 0.610 0.781
0.000 0.000 0.000

Arrangement iii

Al2InAg2 (PBE, optimized geometry); symmetry = No. 139
1.0
-0.256 2.334 -3.223
2.081 -2.674 -2.102
-4.519 -3.080 -4.339
Al Ag In
2 2 1
direct
0.398 0.398 0.205
0.602 0.602 0.795
0.750 0.250 0.500
0.250 0.750 0.500
0.000 0.000 0.000

The structure with the least stability is arrangement iii.

Arrangement i

AlIn2Ag6 (PBE, optimized geometry); symmetry = No. 15
1.0
-0.962 -4.861 -0.019
0.577 -1.501 8.511
-7.866 0.189 3.622
Al In Ag
2 4 12
direct
0.250 0.131 0.869
0.750 0.869 0.131
0.426 0.541 0.795
0.074 0.205 0.459
0.574 0.459 0.205
0.926 0.795 0.541
0.474 0.684 0.426
0.026 0.574 0.316
0.526 0.316 0.574
0.974 0.426 0.684
0.627 0.092 0.339
0.873 0.661 0.908
0.373 0.908 0.661
0.127 0.339 0.092
0.305 0.787 0.010
0.195 0.990 0.213
0.695 0.213 0.990
0.805 0.010 0.787

Arrangement ii

AlIn2Ag6 (PBE, optimized geometry); symmetry = No. 58
1.0
-2.966 -0.988 3.432
0.934 -8.221 -1.559
6.592 -0.314 5.607
Al In Ag
2 4 12
direct
0.500 0.500 0.000
0.000 0.000 0.500
0.000 0.324 0.767
0.500 0.824 0.733
0.500 0.176 0.267
0.000 0.676 0.233
0.000 0.009 0.168
0.000 0.672 0.563
0.000 0.652 0.901
0.500 0.152 0.599
0.500 0.172 0.937
0.500 0.509 0.332
0.000 0.991 0.832
0.000 0.328 0.437
0.000 0.348 0.099
0.500 0.848 0.401
0.500 0.828 0.063
0.500 0.491 0.668

The structure with the least stability is arrangement ii.

Arrangement i

Al2InAg8 (PBE, optimized geometry); symmetry = No. 12
1.0
4.737 0.947 0.000
1.601 7.285 0.000
0.800 3.643 6.240
Al In Ag
2 1 8
direct
0.000 0.308 0.384
0.000 0.692 0.616
0.500 0.000 0.000
0.872 0.090 0.237
0.872 0.327 0.763
0.306 0.404 0.000
0.500 0.775 0.450
0.500 0.225 0.550
0.694 0.596 0.000
0.128 0.673 0.237
0.128 0.910 0.763

Arrangement ii

Al2InAg8 (PBE, optimized geometry); symmetry = No. 1
1.0
-1.107 -4.765 0.034
3.729 -0.143 4.747
-6.656 3.750 1.755
Al In Ag
2 1 8
direct
0.727 0.578 0.229
0.455 0.240 0.589
0.090 0.909 0.909
0.830 0.299 0.923
0.928 0.001 0.549
0.279 0.345 0.281
0.712 0.029 0.162
0.254 0.817 0.269
0.903 0.473 0.537
0.353 0.520 0.895
0.470 0.790 0.656

The structure with the least stability is arrangement i.

Arrangement i

AlIn2Ag8 (PBE, optimized geometry); symmetry = No. 12
1.0
5.024 0.551 0.458
0.807 6.976 -0.209
0.807 1.069 6.897
Al In Ag
1 2 8
direct
0.000 0.000 0.000
0.457 0.157 0.157
0.543 0.843 0.843
0.806 0.165 0.679
0.194 0.321 0.835
0.888 0.273 0.273
0.112 0.727 0.727
0.806 0.679 0.165
0.194 0.835 0.321
0.293 0.432 0.432
0.707 0.568 0.568

Arrangement ii

AlIn2Ag8 (PBE, optimized geometry); symmetry = No. 12
1.0
-3.836 2.589 -0.052
-4.284 -6.379 -1.571
3.457 1.115 6.517
Al In Ag
1 2 8
direct
0.500 0.000 0.000
0.165 0.675 0.331
0.835 0.325 0.669
0.566 0.739 0.132
0.319 0.527 0.637
0.190 0.062 0.381
0.054 0.226 0.107
0.810 0.938 0.619
0.681 0.473 0.363
0.434 0.261 0.868
0.946 0.774 0.893

The structure with the least stability is arrangement i.

Arrangement i

Al2In2Ag (PBE, optimized geometry); symmetry = No. 139
1.0
3.711 0.000 0.000
0.000 3.711 0.000
1.856 1.856 8.292
Al Ag In
2 1 2
direct
0.750 0.250 0.500
0.250 0.750 0.500
0.000 0.000 0.000
0.401 0.401 0.199
0.599 0.599 0.801

Arrangement ii

Al2In2Ag (PBE, optimized geometry); symmetry = No. 139
1.0
4.366 0.000 0.000
0.000 4.366 0.000
2.183 2.183 6.176
Al Ag In
2 1 2
direct
0.399 0.399 0.201
0.601 0.601 0.799
0.000 0.000 0.000
0.750 0.250 0.500
0.250 0.750 0.500

The structure with the least stability is arrangement ii.

Arrangement i

AlInAg (PBE, optimized geometry); symmetry = No. 11
1.0
-1.491 -3.520 0.947
-0.489 -1.700 -7.089
11.890 -4.824 0.791
In Ag Al
6 6 6
direct
0.750 0.555 0.383
0.250 0.944 0.721
0.750 0.056 0.279
0.750 0.639 0.084
0.250 0.445 0.617
0.250 0.361 0.916
0.250 0.754 0.915
0.750 0.244 0.751
0.750 0.756 0.582
0.750 0.246 0.085
0.250 0.244 0.418
0.250 0.756 0.249
0.250 0.990 0.082
0.250 0.877 0.454
0.750 0.623 0.783
0.750 0.123 0.546
0.250 0.377 0.217
0.750 0.010 0.918

Arrangement ii

AlInAg (PBE, optimized geometry); symmetry = No. 156
1.0
3.271 0.000 0.000
-1.636 2.833 0.000
0.000 0.000 6.553
Al Ag In
1 1 1
direct
0.667 0.333 0.314
0.000 0.000 0.019
0.333 0.667 0.667

The structure with the least stability is arrangement ii.

Arrangement i

AlInAg (PBE, optimized geometry); symmetry = No. 107
1.0
6.345 -0.143 0.146
5.610 2.963 0.202
0.734 0.119 3.105
Al Ag In
1 1 1
direct
0.348 0.348 0.652
0.985 0.985 0.015
0.667 0.667 0.333

Arrangement ii

AlInAg (PBE, optimized geometry); symmetry = No. 216
1.0
4.536 0.000 0.000
2.268 3.928 0.000
2.268 1.309 3.704
Al Ag In
1 1 1
direct
0.000 0.000 0.000
0.250 0.250 0.250
0.500 0.500 0.500

The structure with the least stability is arrangement i.

Arrangement i

AlAgIr3 (PBE, optimized geometry); symmetry = No. 221
1.0
4.483 0.000 0.000
0.000 4.483 0.000
0.000 0.000 4.483
Ir Al Ag
3 1 1
direct
0.000 0.500 0.000
0.000 0.000 0.500
0.500 0.000 0.000
0.000 0.000 0.000
0.500 0.500 0.500

Arrangement ii

AlAgIr3 (PBE, optimized geometry); symmetry = No. 221
1.0
4.766 0.000 0.000
0.000 4.766 0.000
0.000 0.000 4.766
Ir Al Ag
3 1 1
direct
0.000 0.500 0.000
0.000 0.000 0.500
0.500 0.000 0.000
0.500 0.500 0.500
0.000 0.000 0.000

The structure with the least stability is arrangement ii.